Entry 1:
Density functional theory data (PBE) for crystalline CsScNF2 at its relaxed geometry.

extended XYZ file:
```
5
Lattice="4.414 0.000 0.000 0.000 4.414 0.000 0.000 0.000 4.281" Properties=species:S:1:pos:R:3 pbc="T T T"
Cs 0.000 0.000 0.000
Sc 2.207 2.207 2.141
N 2.207 2.207 0.000
F 0.000 2.207 2.141
F 2.207 0.000 2.141
```

Results
ΔE_f (raw) = -2109 meV/atom
space group = P4/mmm
E = -5.959 eV/atom

=====

Entry 2:
Density functional theory data (PBE) for crystalline AcLa2NdTl4 at its relaxed geometry.

extended XYZ file:
```
8
Lattice="2.834 1.636 9.256 -2.834 1.636 9.256 0.000 -3.272 9.256" Properties=species:S:1:pos:R:3 pbc="T T T"
Ac 0.000 0.000 0.000
La 0.000 0.000 6.927
La 0.000 0.000 20.841
Nd 0.000 0.000 13.884
Tl 0.000 0.000 3.532
Tl 0.000 0.000 10.492
Tl 0.000 0.000 17.276
Tl 0.000 0.000 24.236
```

Results
space group = R-3m
DFT formation energy = -0.387 eV per atom
E = -3.912 eV/atom

=====

Entry 3:
Density functional theory data (PBE) for crystalline HoMg3Cd9 at its relaxed geometry.

extended XYZ file:
```
13
Lattice="3.007 -6.969 0.000 3.007 6.969 0.000 -2.974 0.000 6.939" Properties=species:S:1:pos:R:3 pbc="T T T"
Ho 0.000 0.000 0.000
Mg -1.487 0.000 3.470
Mg 1.504 3.485 0.000
Mg 1.504 -3.485 0.000
Cd 0.041 4.549 4.554
Cd -0.017 1.501 5.459
Cd 3.000 4.549 2.385
Cd -0.017 -1.501 5.459
Cd 1.520 0.000 3.470
Cd 3.058 1.501 1.480
Cd 0.041 -4.549 4.554
Cd 3.058 -1.501 1.480
Cd 3.000 -4.549 2.385
```

Results
space group = C2/m
DFT formation energy = -0.124 eV per atom
E = -1.478 eV/atom

=====

Entry 4:
Density functional theory data (PBE) for crystalline ReSn3P at its relaxed geometry.

extended XYZ file:
```
5
Lattice="5.186 0.000 0.000 0.000 5.186 0.000 0.000 0.000 5.186" Properties=species:S:1:pos:R:3 pbc="T T T"
Re 0.000 0.000 0.000
Sn 0.000 0.000 2.593
Sn 0.000 2.593 0.000
Sn 2.593 0.000 0.000
P 2.593 2.593 2.593
```

Results
space group = Pm-3m
DFT formation energy = 0.665 eV per atom
E = -5.308 eV/atom

=====

Entry 5:
Density functional theory data (PBE) for crystalline CaAlP2S at its relaxed geometry.

extended XYZ file:
```
5
Lattice="4.646 0.000 0.000 0.000 4.646 0.000 0.000 0.000 4.885" Properties=species:S:1:pos:R:3 pbc="T T T"
Ca 0.000 0.000 0.000
Al 2.323 2.323 2.442
P 0.000 2.323 2.442
P 2.323 0.000 2.442
S 2.323 2.323 0.000
```

Results
ΔE_f (raw) = -264 meV/atom
space group = P4/mmm
E = -4.402 eV/atom

=====

Entry 6:
Density functional theory data (PBE) for crystalline LiCu3Ni4 at its relaxed geometry.

extended XYZ file:
```
16
Lattice="5.040 0.000 0.000 0.000 5.035 0.000 0.000 0.000 7.071" Properties=species:S:1:pos:R:3 pbc="T T T"
Li 0.000 0.000 0.000
Li 2.520 0.000 3.536
Cu 0.000 2.518 0.000
Cu 1.260 1.249 1.768
Cu 1.260 3.786 5.303
Cu 2.520 2.518 3.536
Cu 3.780 1.249 1.768
Cu 3.780 3.786 5.303
Ni 0.000 0.000 3.536
Ni 0.000 2.518 3.536
Ni 1.260 1.264 5.303
Ni 1.260 3.771 1.768
Ni 2.520 0.000 0.000
Ni 2.520 2.518 0.000
Ni 3.780 1.264 5.303
Ni 3.780 3.771 1.768
```

Results
space group = Pmna
DFT formation energy = -0.015 eV per atom
E = -4.681 eV/atom

=====

Entry 7:
Density functional theory data (PBE) for crystalline CeDyPu2 at its relaxed geometry.

extended XYZ file:
```
4
Lattice="2.412 1.393 5.043 -2.412 1.393 5.043 0.000 -2.785 5.043" Properties=species:S:1:pos:R:3 pbc="T T T"
Ce 0.000 0.000 0.000
Dy 0.000 0.000 7.564
Pu 0.000 0.000 2.527
Pu 0.000 0.000 12.602
```

Results
space group = R-3m
DFT formation energy = 0.931 eV per atom
E = -8.869 eV/atom

=====

Entry 8:
Density functional theory data (PBE) for crystalline SrLi2BrO4 at its relaxed geometry.

extended XYZ file:
```
16
Lattice="5.145 -3.991 0.000 5.145 3.991 0.000 -4.008 0.000 5.076" Properties=species:S:1:pos:R:3 pbc="T T T"
Sr 2.573 1.996 0.000
Sr 0.569 -1.996 2.538
Li 0.000 0.000 0.000
Li -2.004 0.000 2.538
Li 0.569 1.996 2.538
Li 2.573 -1.996 0.000
Br 5.145 0.000 0.000
Br 3.141 0.000 2.538
O -0.270 0.118 3.688
O 3.079 1.963 2.518
O 5.208 1.963 0.020
O 1.734 -0.118 1.151
O 4.549 0.118 3.925
O 1.075 -1.963 5.055
O 3.204 -1.963 2.558
O 6.553 -0.118 1.387
```

Results
ΔE_f (raw) = -1240 meV/atom
space group = C2/c
E = -4.617 eV/atom

=====

Entry 9:
Density functional theory data (PBE) for crystalline TbTmCl at its relaxed geometry.

extended XYZ file:
```
6
Lattice="3.544 0.000 0.000 1.771 3.069 0.000 1.760 -1.005 14.657" Properties=species:S:1:pos:R:3 pbc="T T T"
Tb 0.000 0.000 0.000
Tb 3.527 2.069 9.028
Tm 3.527 2.069 4.759
Tm 3.530 0.021 11.830
Cl 3.527 0.023 6.798
Cl 3.529 0.022 2.853
```

Results
ΔE_f (raw) = -828 meV/atom
space group = P1
E = -4.477 eV/atom

=====

Entry 10:
Density functional theory data (PBE) for crystalline Li2TaAu at its relaxed geometry.

extended XYZ file:
```
4
Lattice="4.849 -1.355 0.000 4.849 1.355 0.000 -0.655 0.000 5.046" Properties=species:S:1:pos:R:3 pbc="T T T"
Li 2.196 0.000 1.211
Li 6.847 0.000 3.835
Ta -0.327 0.000 2.523
Au 4.849 0.000 0.000
```

Results
space group = C2/m
DFT formation energy = 0.064 eV per atom
E = -4.675 eV/atom

=====

Entry 11:
Density functional theory data (PBE) for crystalline SrPuCd2O6 at its relaxed geometry.

extended XYZ file:
```
10
Lattice="2.922 1.687 5.224 -2.922 1.687 5.224 0.000 -3.374 5.224" Properties=species:S:1:pos:R:3 pbc="T T T"
Sr 0.000 0.000 0.000
Pu 0.000 0.000 7.639
Cd 0.000 0.000 4.320
Cd 0.000 0.000 12.347
O -1.615 -0.046 6.325
O -0.984 -1.507 8.739
O 0.847 -1.376 6.325
O -0.813 1.606 8.739
O 0.768 1.422 6.325
O 1.798 -0.099 8.739
```

Results
ΔE_f (raw) = -2014 meV/atom
space group = R3
E = -6.774 eV/atom

=====

Entry 12:
Density functional theory data (PBE) for crystalline Tb2CeThCo2 at its relaxed geometry.

extended XYZ file:
```
12
Lattice="-3.504 6.065 3.472 3.504 -6.065 3.472 3.504 6.065 -3.472" Properties=species:S:1:pos:R:3 pbc="T T T"
Tb 1.387 2.464 0.000
Tb 4.892 3.601 0.000
Tb -1.387 2.464 3.472
Tb 2.117 3.601 3.472
Ce 0.000 0.000 1.736
Ce 0.000 0.000 5.207
Th 3.504 0.000 1.736
Th 0.000 6.065 1.736
Co 5.392 0.959 0.000
Co 1.887 5.106 0.000
Co 1.617 0.959 3.472
Co -1.887 5.106 3.472
```

Results
space group = Ibam
DFT formation energy = -0.135 eV per atom
E = -6.273 eV/atom

=====

Entry 13:
Density functional theory data (PBE) for crystalline Na3SmTi2Nb2O12 at its relaxed geometry.

extended XYZ file:
```
20
Lattice="5.497 0.000 0.000 -0.024 5.610 0.000 -0.013 -0.001 7.807" Properties=species:S:1:pos:R:3 pbc="T T T"
Na 0.000 0.000 0.000
Na 0.027 0.285 3.880
Na 2.652 2.917 7.769
Sm 2.661 3.187 3.881
Ti 2.773 0.205 1.956
Ti 5.406 2.987 5.782
Nb 2.758 0.193 5.926
Nb 5.431 2.932 1.844
O 0.274 2.954 7.763
O 1.131 4.363 5.464
O 1.147 4.371 2.314
O 1.599 1.683 5.501
O 1.612 1.659 2.268
O 2.344 0.044 0.010
O 3.068 5.534 3.868
O 3.800 3.960 1.775
O 3.817 3.958 5.982
O 4.314 1.166 1.680
O 4.337 1.197 6.128
O 4.996 2.690 3.912
```

Results
ΔE_f (raw) = -2715 meV/atom
space group = P1
E = -7.920 eV/atom

=====

Entry 14:
Density functional theory data (PBE) for crystalline Rb2NdUSe4 at its relaxed geometry.

extended XYZ file:
```
8
Lattice="7.486 0.000 0.000 0.000 4.328 0.000 -2.500 0.000 8.034" Properties=species:S:1:pos:R:3 pbc="T T T"
Rb 0.000 0.000 0.000
Rb 3.743 2.164 0.000
Nd -1.250 2.164 4.017
U 2.493 0.000 4.017
Se 0.040 0.000 5.634
Se 1.292 2.164 2.425
Se 3.694 2.164 5.609
Se 4.946 0.000 2.400
```

Results
ΔE_f (raw) = -1458 meV/atom
space group = P2/m
E = -5.450 eV/atom

=====

Entry 15:
Density functional theory data (PBE) for crystalline BeZn2NiIr at its relaxed geometry.

extended XYZ file:
```
5
Lattice="4.744 0.000 0.000 0.000 4.744 0.000 0.000 0.000 4.593" Properties=species:S:1:pos:R:3 pbc="T T T"
Be 0.000 0.000 0.000
Zn 0.000 2.372 2.297
Zn 2.372 0.000 2.297
Ni 2.372 2.372 0.000
Ir 2.372 2.372 2.297
```

Results
space group = P4/mmm
DFT formation energy = 1.058 eV per atom
E = -3.125 eV/atom

=====

Entry 16:
Density functional theory data (PBE) for crystalline ReTeRu3 at its relaxed geometry.

extended XYZ file:
```
5
Lattice="4.715 0.000 0.000 0.000 4.715 0.000 0.000 0.000 4.715" Properties=species:S:1:pos:R:3 pbc="T T T"
Re 0.000 0.000 0.000
Te 2.357 2.357 2.357
Ru 0.000 0.000 2.357
Ru 0.000 2.357 0.000
Ru 2.357 0.000 0.000
```

Results
ΔE_f (raw) = 1497 meV/atom
space group = Pm-3m
E = -7.186 eV/atom

=====

Entry 17:
Density functional theory data (PBE) for crystalline BeCu2Tc at its relaxed geometry.

extended XYZ file:
```
4
Lattice="-1.292 2.077 4.318 1.292 -2.077 4.318 1.292 2.077 -4.318" Properties=species:S:1:pos:R:3 pbc="T T T"
Be 0.000 0.000 0.000
Cu 1.292 0.000 1.915
Cu 0.000 2.077 2.403
Tc 0.000 0.000 4.318
```

Results
space group = Immm
DFT formation energy = 0.086 eV per atom
E = -5.485 eV/atom

=====

Entry 18:
Density functional theory data (PBE) for crystalline V2ReAu at its relaxed geometry.

extended XYZ file:
```
8
Lattice="-3.471 3.471 2.709 3.471 -3.471 2.709 3.471 3.471 -2.709" Properties=species:S:1:pos:R:3 pbc="T T T"
V 5.206 1.566 -0.677
V 1.566 1.735 0.677
V -1.735 1.904 2.032
V 1.904 1.735 3.387
Re 0.000 0.000 0.000
Re 0.000 3.471 1.355
Au 3.471 0.000 1.355
Au 0.000 0.000 2.709
```

Results
space group = I-42d
DFT formation energy = 0.565 eV per atom
E = -7.926 eV/atom

=====

Entry 19:
Density functional theory data (PBE) for crystalline SrNdPt2 at its relaxed geometry.

extended XYZ file:
```
4
Lattice="0.000 3.632 3.632 3.632 0.000 3.632 3.632 3.632 0.000" Properties=species:S:1:pos:R:3 pbc="T T T"
Sr 0.000 0.000 0.000
Nd 3.632 3.632 3.632
Pt 1.816 1.816 1.816
Pt 5.448 5.448 5.448
```

Results
space group = Fm-3m
DFT formation energy = -0.904 eV per atom
E = -5.537 eV/atom

=====

Entry 20:
Density functional theory data (PBE) for crystalline Tb2ErAl6 at its relaxed geometry.

extended XYZ file:
```
9
Lattice="7.906 0.000 0.000 -3.953 6.847 0.000 0.000 0.000 3.477" Properties=species:S:1:pos:R:3 pbc="T T T"
Tb 0.000 4.565 0.000
Tb 3.953 2.282 0.000
Er 0.000 0.000 0.000
Al -1.315 2.277 1.739
Al -2.638 4.570 1.739
Al 2.630 0.000 1.739
Al 1.315 2.277 1.739
Al 5.277 0.000 1.739
Al 2.638 4.570 1.739
```

Results
space group = P6/mmm
DFT formation energy = -0.497 eV per atom
E = -4.528 eV/atom

=====

Entry 21:
Density functional theory data (PBE) for crystalline Pr6Dy5Tm at its relaxed geometry.

extended XYZ file:
```
12
Lattice="-2.582 5.064 7.713 2.582 -5.064 7.713 2.582 5.064 -7.713" Properties=species:S:1:pos:R:3 pbc="T T T"
Pr 2.582 2.528 -2.570
Pr 0.000 2.526 0.000
Pr 2.582 2.528 2.570
Pr 0.000 2.536 5.143
Pr 0.000 7.603 0.000
Pr 0.000 2.536 10.283
Dy 0.000 0.000 2.565
Dy 2.582 0.000 5.142
Dy 0.000 0.000 7.713
Dy 0.000 5.064 2.571
Dy 0.000 0.000 12.861
Tm 2.582 0.000 0.000
```

Results
space group = Immm
DFT formation energy = 0.017 eV per atom
E = -4.663 eV/atom

=====

Entry 22:
Density functional theory data (PBE) for crystalline NaV2Ga2 at its relaxed geometry.

extended XYZ file:
```
10
Lattice="7.895 0.000 0.000 0.000 7.895 0.000 0.000 0.000 2.658" Properties=species:S:1:pos:R:3 pbc="T T T"
Na 0.000 0.000 0.000
Na 3.947 3.947 0.000
V 0.839 3.108 0.000
V 3.108 7.056 0.000
V 4.787 0.839 0.000
V 7.056 4.787 0.000
Ga 1.458 5.405 1.329
Ga 2.490 1.458 1.329
Ga 5.405 6.437 1.329
Ga 6.437 2.490 1.329
```

Results
space group = P4/mbm
DFT formation energy = 0.016 eV per atom
E = -5.106 eV/atom

=====

Entry 23:
Density functional theory data (PBE) for crystalline CaSmHo2In4 at its relaxed geometry.

extended XYZ file:
```
8
Lattice="2.675 1.544 8.792 -2.675 1.544 8.792 0.000 -3.089 8.792" Properties=species:S:1:pos:R:3 pbc="T T T"
Ca 0.000 0.000 0.000
Sm 0.000 0.000 13.188
Ho 0.000 0.000 6.638
Ho 0.000 0.000 19.737
In 0.000 0.000 3.301
In 0.000 0.000 9.895
In 0.000 0.000 16.480
In 0.000 0.000 23.074
```

Results
space group = R-3m
DFT formation energy = -0.458 eV per atom
E = -3.812 eV/atom

=====

Entry 24:
Density functional theory data (PBE) for crystalline Li4Ho3Tl4 at its relaxed geometry.

extended XYZ file:
```
11
Lattice="-2.367 3.583 7.501 2.367 -3.583 7.501 2.367 3.583 -7.501" Properties=species:S:1:pos:R:3 pbc="T T T"
Li 2.367 -2.246 4.868
Li 0.000 1.337 2.634
Li 2.367 2.246 4.868
Li 0.000 5.828 2.634
Ho 2.367 0.000 0.000
Ho 0.000 0.000 5.733
Ho 0.000 0.000 9.270
Tl 2.367 0.000 3.282
Tl 0.000 2.059 0.000
Tl 0.000 5.107 0.000
Tl 0.000 3.583 4.220
```

Results
space group = Immm
DFT formation energy = -0.242 eV per atom
E = -3.047 eV/atom